DFT (PBE-GGA) results for a relaxed AcPm4Ni2 crystal.

Geometry as POSCAR:
```
AcPm4Ni2
1.0
6.9668 0.0000 0.0000
0.0000 6.8711 0.0000
-3.4096 0.0000 8.5176
Ac Pm Ni
2 8 4
Direct
0.2498 0.2500 0.1949
0.7502 0.7500 0.8051
0.0335 0.2500 0.7868
0.2755 0.0015 0.5567
0.2755 0.4985 0.5567
0.3277 0.7500 0.9971
0.6723 0.2500 0.0029
0.7245 0.5015 0.4433
0.7245 0.9985 0.4433
0.9665 0.7500 0.2132
0.0403 0.7500 0.6612
0.3789 0.7500 0.3360
0.6211 0.2500 0.6640
0.9597 0.2500 0.3388
```

Output
The total magnetization comes out at 0.00 μB/cell. The total energy is -71.19 eV per cell. As for the crystal system: monoclinic. The symmetry is P2_1/m, No. 11. The value obtained for the formation energy is -0.13 eV per atom. The volume comes out at 29.1 A^3/atom.

=====

DFT (PBE-GGA) results for a relaxed Cs2PmSb2O6 crystal.

Geometry as POSCAR:
```
Cs2PmSb2O6
1.0
5.6015 -3.2329 0.0000
5.6015 3.2329 0.0000
-2.5619 0.0000 7.4249
Cs Pm Sb O
2 1 2 6
Direct
0.2144 0.2144 0.2244
0.7856 0.7856 0.7756
0.5000 0.5000 0.0000
0.1058 0.1058 0.7193
0.8942 0.8942 0.2807
0.1734 0.7034 0.1599
0.2897 0.2897 0.8024
0.2966 0.8266 0.8401
0.7034 0.1734 0.1599
0.7103 0.7103 0.1976
0.8266 0.2966 0.8401
```

Output
The total magnetization comes out at 0.00 μB/cell. For the uncorrected formation energy, the calculation gives -177.18 kJ per mole of atoms. The total energy is -64.65 eV per cell. As for the crystal system: monoclinic. The symmetry is C2/m, No. 12. The volume comes out at 24.4 A^3/atom.

=====

DFT (PBE-GGA) results for a relaxed VCoGe crystal.

Geometry as POSCAR:
```
VCoGe
1.0
6.0384 0.0000 0.0000
0.0000 3.6816 0.0000
0.0000 0.0000 6.9621
V Co Ge
4 4 4
Direct
0.0273 0.2500 0.1892
0.4727 0.7500 0.6892
0.5273 0.2500 0.3108
0.9727 0.7500 0.8108
0.1389 0.2500 0.5597
0.3611 0.7500 0.0597
0.6389 0.2500 0.9403
0.8611 0.7500 0.4403
0.2454 0.7500 0.3798
0.2546 0.2500 0.8798
0.7454 0.7500 0.1202
0.7546 0.2500 0.6202
```

Output
The total magnetization comes out at 0.00 μB/cell. The total energy is -87.02 eV per cell. As for the crystal system: orthorhombic. The symmetry is Pnma, No. 62. The value obtained for the formation energy is -0.30 eV per atom. The volume comes out at 12.9 A^3/atom.

=====

DFT (PBE-GGA) results for a relaxed GaPIrCl2 crystal.

Geometry as POSCAR:
```
GaPIrCl2
1.0
4.5325 0.0000 0.0000
0.0000 4.5325 0.0000
0.0000 0.0000 5.2034
Ga P Ir Cl
1 1 1 2
Direct
0.0000 0.0000 0.0000
0.0000 0.0000 0.5000
0.5000 0.5000 0.5000
0.0000 0.5000 0.0000
0.5000 0.0000 0.0000
```

Output
The total magnetization comes out at 1.76 μB/cell. For the uncorrected formation energy, the calculation gives 89.45 kJ per mole of atoms. The total energy is -16.36 eV per cell. As for the crystal system: tetragonal. The distance to the lowest polymorph of the same formula is 4.36 eV/f.u. The symmetry is P4/mmm, No. 123. The volume comes out at 21.4 A^3/atom.